Record 1
# Ti6In2CO

A relaxed Ti6In2CO crystal (GGA-PBE, the Alexandria database).

The value obtained for the uncorrected formation energy is -0.8306 eV/atom. As for the crystal system: tetragonal.

Cell: 5.9682 5.9682 8.4918 Å, 90.00 90.00 90.00°
With the nearest neighbours (Å) after each atom.
Space group I4/mmm (No. 139)
Asymmetric unit:
Ti (0.0000, 0.0000, 0.2486) [4 per cell]  1 C 2.11, 1 O 2.13
Ti (0.2492, 0.2492, 0.0000) [8 per cell]  1 C 2.10, 1 O 2.12
In (0.0000, 0.5000, 0.2500) [4 per cell]  12 Ti 2.98-2.99
C (0.0000, 0.0000, 0.0000) [2 per cell]  6 Ti 2.10-2.11
O (0.0000, 0.0000, 0.5000) [2 per cell]  6 Ti 2.12-2.13



Record 2
# Pm7Nd2Sm

A relaxed Pm7Nd2Sm crystal (GGA-PBE, the Alexandria database).

As for the energy relative to the elements: 6.3 eV/f.u. As for the crystal system: orthorhombic.

Cell: 8.7833 16.9669 5.4929 Å, 90.00 90.00 90.00°
With the nearest neighbours (Å) after each atom.
Space group Cmmm (No. 65)
Asymmetric unit:
Pm (0.0000, 0.0000, 0.0000) [2 per cell]  4 Pm 3.38, 2 Nd 3.46
Pm (0.0000, 0.2860, 0.5000) [4 per cell]  2 Nd 3.08
Pm (0.1802, 0.3891, 0.0000) [8 per cell]  2 Pm 3.17-3.38, 2 Nd 3.22-3.52
Nd (0.0000, 0.2038, 0.0000) [4 per cell]  4 Pm 3.08-3.22
Sm (0.0000, 0.5000, 0.5000) [2 per cell]  10 Pm 3.63-3.69



Record 3
# Li3Tb3ScTe8

A relaxed Li3Tb3ScTe8 crystal (GGA-PBE, the Alexandria database).

The value obtained for the uncorrected formation energy is -1.2109 eV/atom. As for the crystal system: trigonal.

Cell: 8.5734 8.5734 21.2657 Å, 90.00 90.00 120.00°
With the nearest neighbours (Å) after each atom.
Space group R-3m (No. 166, hexagonal axes)
Asymmetric unit:
Li (0.0000, 0.5000, 0.0000) [9 per cell]  6 Te 3.00-3.01
Tb (0.0000, 0.5000, 0.5000) [9 per cell]  6 Te 3.08
Sc (0.0000, 0.0000, 0.5000) [3 per cell]  6 Te 2.97
Te (0.0000, 0.0000, 0.2533) [6 per cell]  3 Li 3.00, 3 Tb 3.08
Te (0.0120, 0.5060, 0.2498) [18 per cell]  1 Sc 2.97, 2 Li 3.01, 2 Tb 3.08



Record 4
# KCaRe

A relaxed KCaRe crystal (GGA-PBE, the Alexandria database).

The energy above the most stable polymorph in this dataset comes out at 69.2 meV/atom. As for the energy relative to the elements: 3.6 eV/f.u. As for the crystal system: trigonal.

Cell: 3.0863 3.0863 9.0901 Å, 90.00 90.00 120.00°
With the nearest neighbours (Å) after each atom.
Space group P3m1 (No. 156)
Asymmetric unit:
K (0.0000, 0.0000, 0.0000) [1 per cell]  6 K 3.09, 3 Re 3.38
Ca (0.3333, 0.6667, 0.5813) [1 per cell]  3 Re 3.00, 6 Ca 3.09
Re (0.6667, 0.3333, 0.3161) [1 per cell]  3 Ca 3.00, 6 Re 3.09



Record 5
# K2Ce3I8

A relaxed K2Ce3I8 crystal (GGA-PBE, the Alexandria database).

The value obtained for the uncorrected formation energy is -1.2792 eV/atom. As for the crystal system: monoclinic.

Cell: 18.1323 8.9162 7.5554 Å, 90.00 103.18 90.00°
With the nearest neighbours (Å) after each atom.
Space group C2/m (No. 12)
Asymmetric unit:
K (0.2442, 0.0000, 0.1701) [4 per cell]  6 I 3.47-3.62
Ce (0.0000, 0.2803, 0.5000) [4 per cell]  6 I 3.23-3.26
Ce (0.0000, 0.5000, 0.0000) [2 per cell]  6 I 3.22-3.28
I (0.0998, 0.0000, 0.4034) [4 per cell]  2 Ce 3.26, 1 K 3.47
I (0.1122, 0.2512, 0.8972) [8 per cell]  2 Ce 3.22-3.23, 2 K 3.54-3.57
I (0.1246, 0.5000, 0.3895) [4 per cell]  3 Ce 3.24-3.28, 1 K 3.62



Record 6
# Hf2V17

A relaxed Hf2V17 crystal (GGA-PBE, the Alexandria database).

As for the energy relative to the elements: 2.0 eV/f.u. As for the crystal system: trigonal.

Cell: 8.8681 8.8681 12.4092 Å, 90.00 90.00 120.00°
With the nearest neighbours (Å) after each atom.
Space group R-3m (No. 166, hexagonal axes)
Asymmetric unit:
Hf (0.0000, 0.0000, 0.1683) [6 per cell]  13 V 2.93-3.21
V (0.0000, 0.0000, 0.4041) [6 per cell]  1 V 2.38
V (0.0000, 0.3040, 0.5000) [18 per cell]  8 V 2.48-2.70
V (0.0000, 0.5000, 0.0000) [9 per cell]  10 V 2.48-2.71
V (0.0100, 0.5050, 0.6485) [18 per cell]  8 V 2.52-2.68



Record 7
# AgOsW

A relaxed AgOsW crystal (GGA-PBE, the Alexandria database).

The energy above the most stable polymorph in this dataset comes out at 118.7 meV/atom. As for the energy relative to the elements: 1.5 eV/f.u. As for the crystal system: tetragonal.

Cell: 2.9573 2.9573 11.3408 Å, 90.00 90.00 90.00°
With the nearest neighbours (Å) after each atom.
Space group I4mm (No. 107)
Asymmetric unit:
Ag (0.0000, 0.0000, 0.0000) [2 per cell]  4 Os 2.94, 4 Ag 2.96, 4 W 2.96
Os (0.0000, 0.0000, 0.3180) [2 per cell]  4 W 2.58
W (0.0000, 0.0000, 0.6852) [2 per cell]  4 Os 2.58



Record 8
# ScAg

A relaxed ScAg crystal (GGA-PBE, the Alexandria database).

As for the energy relative to the elements: -0.2 eV/f.u. As for the crystal system: tetragonal.

Cell: 4.1832 4.1832 9.1703 Å, 90.00 90.00 90.00°
With the nearest neighbours (Å) after each atom.
Space group I4_1/amd (No. 141, origin choice 2)
Asymmetric unit:
Sc (0.0000, 0.2500, 0.3750) [4 per cell]  8 Ag 2.96-3.10, 4 Sc 3.10
Ag (0.0000, 0.2500, 0.8750) [4 per cell]  8 Sc 2.96-3.10, 4 Ag 3.10



Record 9
# RbTaHg2

A relaxed RbTaHg2 crystal (GGA-PBE, the Alexandria database).

The energy above the most stable polymorph in this dataset comes out at 0.0 meV/atom. As for the energy relative to the elements: 3.7 eV/f.u. As for the crystal system: tetragonal.

Cell: 6.0876 6.0876 17.7733 Å, 90.00 90.00 90.00°
With the nearest neighbours (Å) after each atom.
Space group I-42d (No. 122)
Asymmetric unit:
Rb (0.0000, 0.0000, 0.0000) [4 per cell]  4 Hg 3.71
Ta (0.0000, 0.0000, 0.5000) [4 per cell]  4 Hg 2.74
Hg (0.0819, 0.2500, 0.6250) [8 per cell]  2 Ta 2.74



Record 10
# Rb2NiBI6

A relaxed Rb2NiBI6 crystal (GGA-PBE, the Alexandria database).

The value obtained for the uncorrected formation energy is -0.3088 eV/atom. As for the crystal system: tetragonal.

Cell: 7.6309 7.6309 12.2628 Å, 90.00 90.00 90.00°
With the nearest neighbours (Å) after each atom.
Space group I4/mmm (No. 139)
Asymmetric unit:
Rb (0.0000, 0.5000, 0.2500) [4 per cell]  12 I 3.85-4.09
Ni (0.0000, 0.0000, 0.0000) [2 per cell]  2 I 2.54
B (0.0000, 0.0000, 0.5000) [2 per cell]  4 I 2.51
I (0.0000, 0.0000, 0.2072) [4 per cell]  1 Ni 2.54
I (0.2327, 0.2327, 0.5000) [8 per cell]  1 B 2.51



Record 11
# Cs2RbMgBr6

A relaxed Cs2RbMgBr6 crystal (GGA-PBE, the Alexandria database).

The value obtained for the uncorrected formation energy is -1.4282 eV/atom. As for the crystal system: cubic.

Cell: 11.8855 11.8855 11.8855 Å, 90.00 90.00 90.00°
With the nearest neighbours (Å) after each atom.
Space group Fm-3m (No. 225)
Asymmetric unit:
Cs (0.2500, 0.2500, 0.2500) [8 per cell]  12 Br 4.21
Rb (0.0000, 0.0000, 0.0000) [4 per cell]  6 Br 3.28
Mg (0.0000, 0.0000, 0.5000) [4 per cell]  6 Br 2.66
Br (0.0000, 0.0000, 0.2763) [24 per cell]  1 Mg 2.66



Record 12
# NaPmSe2O6

A relaxed NaPmSe2O6 crystal (GGA-PBE, the Alexandria database).

The value obtained for the uncorrected formation energy is -1.6941 eV/atom. As for the crystal system: trigonal.

Cell: 5.4885 5.4885 18.1988 Å, 90.00 90.00 120.00°
With the nearest neighbours (Å) after each atom.
Space group R-3 (No. 148, hexagonal axes)
Asymmetric unit:
Na (0.0000, 0.0000, 0.0000) [3 per cell]  6 O 2.58
Pm (0.0000, 0.0000, 0.5000) [3 per cell]  6 O 2.38
Se (0.0000, 0.0000, 0.2830) [6 per cell]  3 O 1.73
O (0.0106, 0.2935, 0.2440) [18 per cell]  1 Se 1.73



Record 13
# SrInRu2

A relaxed SrInRu2 crystal (GGA-PBE, the Alexandria database).

As for the energy relative to the elements: 2.0 eV/f.u. As for the crystal system: tetragonal.

Cell: 4.6050 4.6050 19.1127 Å, 90.00 90.00 90.00°
With the nearest neighbours (Å) after each atom.
Space group I-42d (No. 122)
Asymmetric unit:
Sr (0.0000, 0.0000, 0.0000) [4 per cell]  4 Ru 3.24, 4 In 3.26
In (0.0000, 0.0000, 0.5000) [4 per cell]  4 Ru 2.69
Ru (0.0950, 0.2500, 0.6250) [8 per cell]  2 Ru 2.46, 2 In 2.69



Record 14
# PmCd2IrO8

A relaxed PmCd2IrO8 crystal (GGA-PBE, the Alexandria database).

The value obtained for the uncorrected formation energy is -1.0734 eV/atom. As for the crystal system: monoclinic.

Cell: 4.8373 6.8994 4.8477 Å, 90.00 91.40 90.00°
With the nearest neighbours (Å) after each atom.
Space group P2/m (No. 10)
Asymmetric unit:
Pm (0.0000, 0.0000, 0.0000) [1 per cell]  6 O 2.39-2.42
Cd (0.5000, 0.2612, 0.5000) [2 per cell]  6 O 2.27-2.32
Ir (0.0000, 0.5000, 0.0000) [1 per cell]  6 O 1.87-1.92
O (0.1201, 0.2928, 0.7672) [4 per cell]  1 Ir 1.92
O (0.3362, 0.5000, 0.2008) [2 per cell]  1 Ir 1.87
O (0.4540, 0.0000, 0.2187) [2 per cell]  1 O 2.18, 2 Cd 2.27, 1 Pm 2.42



Record 15
# Er3Tm3Pb

A relaxed Er3Tm3Pb crystal (GGA-PBE, the Alexandria database).

The energy above the most stable polymorph in this dataset comes out at 0.0 meV/atom. As for the energy relative to the elements: -0.8 eV/f.u. As for the crystal system: hexagonal.

Cell: 9.2894 9.2894 5.5189 Å, 90.00 90.00 120.00°
With the nearest neighbours (Å) after each atom.
Space group P6_3/m (No. 176)
Asymmetric unit:
Er (0.0629, 0.2409, 0.2500) [6 per cell]  6 Er 3.41-3.48, 5 Tm 3.43-3.63, 1 Pb 3.47
Tm (0.1036, 0.4811, 0.7500) [6 per cell]  3 Pb 3.39-3.58, 4 Tm 3.40-3.48, 5 Er 3.43-3.63
Pb (0.3333, 0.6667, 0.2500) [2 per cell]  9 Tm 3.39-3.58, 3 Er 3.47



Record 16
# ScReW

A relaxed ScReW crystal (GGA-PBE, the Alexandria database).

The energy above the most stable polymorph in this dataset comes out at 126.2 meV/atom. As for the energy relative to the elements: -0.2 eV/f.u. As for the crystal system: tetragonal.

Cell: 3.1702 3.1702 10.2145 Å, 90.00 90.00 90.00°
With the nearest neighbours (Å) after each atom.
Space group I4mm (No. 107)
Asymmetric unit:
Sc (0.0000, 0.0000, 0.0000) [2 per cell]  4 Re 2.89, 5 W 2.93-3.21, 4 Sc 3.17
Re (0.0000, 0.0000, 0.6779) [2 per cell]  4 W 2.64, 4 Sc 2.89
W (0.0000, 0.0000, 0.3147) [2 per cell]  4 Re 2.64, 4 Sc 2.93



Record 17
# TiWN3

A relaxed TiWN3 crystal (GGA-PBE, the Alexandria database).

The value obtained for the uncorrected formation energy is 0.8896 eV/atom. As for the crystal system: cubic.

Cell: 3.8012 3.8012 3.8012 Å, 90.00 90.00 90.00°
With the nearest neighbours (Å) after each atom.
Space group Pm-3m (No. 221)
Asymmetric unit:
Ti (0.0000, 0.0000, 0.0000) [1 per cell]  6 N 1.90
W (0.5000, 0.5000, 0.5000) [1 per cell]  12 N 2.69
N (0.0000, 0.0000, 0.5000) [3 per cell]  2 Ti 1.90



Record 18
# YTcRu2

A relaxed YTcRu2 crystal (GGA-PBE, the Alexandria database).

The energy above the most stable polymorph in this dataset comes out at 312.5 meV/atom. As for the energy relative to the elements: 1.6 eV/f.u. As for the crystal system: trigonal.

Cell: 2.8716 2.8716 28.0129 Å, 90.00 90.00 120.00°
With the nearest neighbours (Å) after each atom.
Space group R-3m (No. 166, hexagonal axes)
Asymmetric unit:
Y (0.0000, 0.0000, 0.0000) [3 per cell]  6 Y 2.87, 6 Ru 3.07
Tc (0.0000, 0.0000, 0.5000) [3 per cell]  6 Ru 2.67, 6 Tc 2.87
Ru (0.0000, 0.0000, 0.2412) [6 per cell]  3 Tc 2.67, 6 Ru 2.87



Record 19
# Mn2CoAs

A relaxed Mn2CoAs crystal (GGA-PBE, the Alexandria database).

As for the energy relative to the elements: -0.3 eV/f.u. As for the crystal system: orthorhombic.

Cell: 3.5841 3.5994 3.7215 Å, 90.00 90.00 90.00°
With the nearest neighbours (Å) after each atom.
Space group Pmmm (No. 47)
Asymmetric unit:
Mn (0.0000, 0.0000, 0.0000) [1 per cell]  4 Mn 2.54, 4 As 2.58, 4 Co 2.59
Mn (0.5000, 0.5000, 0.0000) [1 per cell]  4 Mn 2.54, 4 Co 2.58, 4 As 2.59
Co (0.0000, 0.5000, 0.5000) [1 per cell]  4 As 2.54, 8 Mn 2.58-2.59
As (0.5000, 0.0000, 0.5000) [1 per cell]  4 Co 2.54, 8 Mn 2.58-2.59



Record 20
# Ti3AlIr

A relaxed Ti3AlIr crystal (GGA-PBE, the Alexandria database).

The energy above the most stable polymorph in this dataset comes out at 1317.4 meV/atom. As for the energy relative to the elements: 4.6 eV/f.u. As for the crystal system: cubic.

Cell: 4.5524 4.5524 4.5524 Å, 90.00 90.00 90.00°
With the nearest neighbours (Å) after each atom.
Space group Pm-3m (No. 221)
Asymmetric unit:
Ti (0.0000, 0.0000, 0.5000) [3 per cell]  2 Al 2.28
Al (0.0000, 0.0000, 0.0000) [1 per cell]  6 Ti 2.28
Ir (0.5000, 0.5000, 0.5000) [1 per cell]  12 Ti 3.22



Record 21
# Cs2SmB2O6

A relaxed Cs2SmB2O6 crystal (GGA-PBE, the Alexandria database).

The value obtained for the uncorrected formation energy is -2.4057 eV/atom. As for the crystal system: trigonal.

Cell: 5.7129 5.7129 21.0882 Å, 90.00 90.00 120.00°
With the nearest neighbours (Å) after each atom.
Space group R-3m (No. 166, hexagonal axes)
Asymmetric unit:
Cs (0.0000, 0.0000, 0.2127) [6 per cell]  6 O 3.11
Sm (0.0000, 0.0000, 0.0000) [3 per cell]  6 O 2.35
B (0.0000, 0.0000, 0.3971) [6 per cell]  3 O 1.38
O (0.0539, 0.5270, 0.2690) [18 per cell]  1 B 1.38



Record 22
# Hg2IrCl

A relaxed Hg2IrCl crystal (GGA-PBE, the Alexandria database).

The energy above the most stable polymorph in this dataset comes out at 469.6 meV/atom. The value obtained for the uncorrected formation energy is 0.6107 eV/atom. As for the crystal system: tetragonal.

Cell: 6.0390 6.0390 14.2031 Å, 90.00 90.00 90.00°
With the nearest neighbours (Å) after each atom.
Space group I-42d (No. 122)
Asymmetric unit:
Hg (0.1950, 0.2500, 0.1250) [8 per cell]  2 Ir 2.61
Ir (0.0000, 0.0000, 0.0000) [4 per cell]  4 Hg 2.61
Cl (0.0000, 0.0000, 0.5000) [4 per cell]  4 Hg 2.97



Record 23
# Rb2ZnPbBr6

A relaxed Rb2ZnPbBr6 crystal (GGA-PBE, the Alexandria database).

The energy above the most stable polymorph in this dataset comes out at 0.0 meV/atom. The value obtained for the uncorrected formation energy is -1.2133 eV/atom. As for the crystal system: triclinic.

Cell: 8.0576 8.0580 9.1173 Å, 63.78 89.96 60.00°
With the nearest neighbours (Å) after each atom.
Space group P1 (No. 1)
Asymmetric unit:
Rb (0.0000, 0.0000, 0.0000) [1 per cell]  6 Br 3.43-3.67
Rb (0.4883, 0.0230, 0.4657) [1 per cell]  6 Br 3.44-3.59
Zn (0.2255, 0.5488, 0.6768) [1 per cell]  3 Br 2.36
Pb (0.7820, 0.4357, 0.3466) [1 per cell]  3 Br 2.82
Br (0.0489, 0.4986, 0.1667) [1 per cell]  1 Pb 2.82
Br (0.1629, 0.8736, 0.6655) [1 per cell]  1 Zn 2.36
Br (0.4522, 0.8824, 0.1666) [1 per cell]  1 Pb 2.82
Br (0.5390, 0.2975, 0.6658) [1 per cell]  1 Zn 2.36
Br (0.6651, 0.2857, 0.1666) [1 per cell]  1 Pb 2.82
Br (0.9630, 0.4980, 0.6655) [1 per cell]  1 Zn 2.36